TlBi2Pb6 | PBE-GGA | optimized geometry

Cell: 10.3167 10.3167 5.9214 Å, 90.00 90.00 113.39°
Sites, in units of the cell vectors:
Tl 0.0000 0.0000 0.0000
Tl 0.5000 0.5000 0.5000
Bi 0.1517 0.8483 0.5000
Bi 0.3078 0.3078 0.0000
Bi 0.6922 0.6922 0.0000
Bi 0.8483 0.1517 0.5000
Pb 0.0146 0.6649 0.0000
Pb 0.1694 0.5257 0.5000
Pb 0.1851 0.1851 0.5000
Pb 0.3351 0.9854 0.0000
Pb 0.3535 0.6465 0.0000
Pb 0.4743 0.8306 0.5000
Pb 0.5257 0.1694 0.5000
Pb 0.6465 0.3535 0.0000
Pb 0.6649 0.0146 0.0000
Pb 0.8149 0.8149 0.5000
Pb 0.8306 0.4743 0.5000
Pb 0.9854 0.3351 0.0000

Results
VASP energy: -3.58 eV per atom
ΔE to the lowest computed polymorph: 0 meV per atom
DFT formation energy: 0.2 eV/f.u.
Size of the total moment: 0.00 μB per cell